The following is a DFT calculation (GGA-PBE) of a relaxed Sr2NbIr3O12 crystal.

Lattice parameters (Å, degrees): 7.0727 7.0727 18.0177 90.00 90.00 120.00
Space group R-3m (No. 166, hexagonal axes)
One atom of each set of equivalent atoms:
1 Sr 0.0000 0.0000 0.1059 [6 per cell]
2 Nb 0.0000 0.0000 0.5000 [3 per cell]
3 Ir 0.0000 0.5000 0.0000 [9 per cell]
4 O 0.0487 0.5243 0.3537 [18 per cell]
5 O 0.0558 0.5279 0.1079 [18 per cell]

Computed properties:
The formation energy (no corrections) comes out at -1466 meV per atom.

The following is a DFT calculation (GGA-PBE) of a relaxed Ti2NbIrO crystal.

Lattice parameters (Å, degrees): 4.064 4.064 4.263 90.00 90.00 90.00
Space group P4/mmm (No. 123)
One atom of each set of equivalent atoms:
1 Ti 0.000 0.500 0.000 [2 per cell]
2 Nb 0.000 0.000 0.500 [1 per cell]
3 Ir 0.500 0.500 0.500 [1 per cell]
4 O 0.000 0.000 0.000 [1 per cell]

Computed properties:
The formation energy (no corrections) comes out at -1189 meV per atom.

The following is a DFT calculation (GGA-PBE) of a relaxed NbTl2IrO6 crystal.

Lattice parameters (Å, degrees): 5.716 5.717 8.076 90.00 90.00 90.00
Space group Immm (No. 71)
One atom of each set of equivalent atoms:
1 Nb 0.000 0.000 0.000 [2 per cell]
2 Tl 0.000 0.500 0.250 [4 per cell]
3 Ir 0.000 0.000 0.500 [2 per cell]
4 O 0.000 0.000 0.252 [4 per cell]
5 O 0.247 0.248 0.500 [8 per cell]

Computed properties:
The formation energy (no corrections) comes out at -1258 meV per atom.

The following is a DFT calculation (GGA-PBE) of a relaxed NbTlIrO6 crystal.

Lattice parameters (Å, degrees): 7.249 7.501 10.446 90.00 90.00 90.00
Space group Imma (No. 74)
One atom of each set of equivalent atoms:
1 Nb 0.000 0.000 0.000 [4 per cell]
2 Tl 0.000 0.250 0.417 [4 per cell]
3 Ir 0.250 0.250 0.750 [4 per cell]
4 O 0.000 0.250 0.063 [4 per cell]
5 O 0.000 0.250 0.684 [4 per cell]
6 O 0.199 0.069 0.876 [16 per cell]

Computed properties:
The formation energy (no corrections) comes out at -1356 meV per atom.

The following is a DFT calculation (GGA-PBE) of a relaxed ZrNbIr2O crystal.

Lattice parameters (Å, degrees): 4.945 4.945 3.832 90.00 90.00 90.00
Space group P4/mmm (No. 123)
One atom of each set of equivalent atoms:
1 Zr 0.000 0.000 0.000 [1 per cell]
2 Nb 0.500 0.500 0.500 [1 per cell]
3 Ir 0.000 0.500 0.500 [2 per cell]
4 O 0.500 0.500 0.000 [1 per cell]

Computed properties:
The formation energy (no corrections) comes out at -142 meV per atom.

The following is a DFT calculation (GGA-PBE) of a relaxed Nb2IrOs crystal.

Lattice parameters (Å, degrees): 2.8326 2.8326 27.8603 90.00 90.00 120.00
Space group R-3m (No. 166, hexagonal axes)
One atom of each set of equivalent atoms:
1 Nb 0.0000 0.0000 0.2504 [6 per cell]
2 Ir 0.0000 0.0000 0.5000 [3 per cell]
3 Os 0.0000 0.0000 0.0000 [3 per cell]

Computed properties:
As for the formation energy: -56 meV per atom. Its energy above the lowest structure with this stoichiometry is 235.2 meV per atom.